[1]
{"formula": "LaSc", "functional": "PBEsol", "state": "optimized geometry", "lattice_angstrom": [[-1.593, -5.194, 0.656], [3.587, -4.073, -0.707], [1.757, -2.878, 4.311]], "species": ["La", "La", "Sc", "Sc"], "frac_coords": [[0.750, 0.750, 0.750], [0.500, 0.500, 0.500], [0.250, 0.250, 0.250], [0.000, 0.000, 0.000]], "n_ef_per_ev_atom": 2.519, "e_above_lowest_polymorph_mev_per_atom": 139, "total_magnetization_mub_per_cell": 0.008, "ef_kj_per_mol_fu": 36, "final_energy_ev_per_atom": -5.789}

---

[2]
{"formula": "LaSc", "functional": "PBEsol", "state": "optimized geometry", "lattice_angstrom": [[-0.157, -3.365, -1.050], [5.029, 2.498, -2.825], [2.524, -2.509, 7.661]], "species": ["Sc", "Sc", "Sc", "La", "La", "La"], "frac_coords": [[0.063, 0.125, 0.564], [0.380, 0.761, 0.289], [0.673, 0.347, 0.344], [0.357, 0.713, 0.676], [0.705, 0.411, 0.922], [0.988, 0.976, 0.039]], "n_ef_per_ev_atom": 1.447, "e_above_lowest_polymorph_mev_per_atom": 17, "total_magnetization_mub_per_cell": 0.000, "ef_kj_per_mol_fu": 13, "final_energy_ev_per_atom": -5.911}

---

[3]
{"formula": "LaSc", "functional": "PBEsol", "state": "optimized geometry", "lattice_angstrom": [[6.001, 0.000, 0.000], [3.001, 5.253, -0.003], [3.001, 1.691, 5.469]], "species": ["La", "La", "La", "Sc", "Sc", "Sc"], "frac_coords": [[0.991, 0.684, 0.012], [0.686, 0.316, 0.988], [0.493, 0.500, 0.500], [0.182, 0.157, 0.488], [0.828, 0.843, 0.512], [0.320, 0.000, 0.000]], "n_ef_per_ev_atom": 1.660, "e_above_lowest_polymorph_mev_per_atom": 31, "total_magnetization_mub_per_cell": 0.000, "ef_kj_per_mol_fu": 15, "final_energy_ev_per_atom": -5.897}

---

[4]
{"formula": "LaSc", "functional": "PBEsol", "state": "optimized geometry", "lattice_angstrom": [[3.746, 0.000, 0.000], [0.000, 5.537, 0.000], [0.000, 0.000, 5.548]], "species": ["La", "La", "Sc", "Sc"], "frac_coords": [[0.000, 0.250, 0.262], [0.000, 0.750, 0.738], [0.500, 0.250, 0.765], [0.500, 0.750, 0.235]], "n_ef_per_ev_atom": 1.336, "e_above_lowest_polymorph_mev_per_atom": 16, "total_magnetization_mub_per_cell": 0.001, "ef_kj_per_mol_fu": 12, "final_energy_ev_per_atom": -5.912}

---

[5]
{"formula": "LaSc3", "functional": "PBEsol", "state": "optimized geometry", "lattice_angstrom": [[3.333, 0.000, 0.000], [1.667, 2.887, 0.000], [1.667, 0.962, 10.671]], "species": ["Sc", "Sc", "Sc", "La"], "frac_coords": [[0.754, 0.754, 0.739], [0.246, 0.246, 0.261], [0.500, 0.500, 0.500], [0.000, 0.000, 0.000]], "n_ef_per_ev_atom": 1.514, "total_magnetization_mub_per_cell": 0.000, "ef_kj_per_mol_fu": 26, "final_energy_ev_per_atom": -6.222}

---

[6]
{"formula": "LaSc4", "functional": "PBEsol", "state": "optimized geometry", "lattice_angstrom": [[4.694, 0.000, 0.000], [2.347, 5.198, 0.000], [2.347, 0.000, 5.198]], "species": ["Sc", "Sc", "Sc", "Sc", "La"], "frac_coords": [[0.403, 0.400, 0.795], [0.802, 0.795, 0.600], [0.198, 0.205, 0.400], [0.597, 0.600, 0.205], [0.000, 0.000, 0.000]], "n_ef_per_ev_atom": 1.640, "total_magnetization_mub_per_cell": 0.001, "ef_kj_per_mol_fu": 36, "final_energy_ev_per_atom": -6.279}

---

[7]
{"formula": "La2Sc3", "functional": "PBEsol", "state": "optimized geometry", "lattice_angstrom": [[-0.621, 3.324, -0.371], [-0.650, 1.275, -3.086], [-13.589, -0.723, 0.691]], "species": ["Sc", "Sc", "Sc", "La", "La"], "frac_coords": [[0.197, 0.197, 0.408], [0.000, 0.000, 0.000], [0.803, 0.803, 0.592], [0.401, 0.401, 0.798], [0.599, 0.599, 0.202]], "n_ef_per_ev_atom": 1.169, "total_magnetization_mub_per_cell": 0.000, "ef_kj_per_mol_fu": 30, "final_energy_ev_per_atom": -6.040}

---

[8]
{"formula": "LaSc3", "functional": "PBEsol", "state": "optimized geometry", "lattice_angstrom": [[-2.989, -0.196, 4.399], [1.224, -5.613, 0.581], [5.430, 1.573, 3.760]], "species": ["Sc", "Sc", "Sc", "Sc", "Sc", "Sc", "La", "La"], "frac_coords": [[0.500, 0.324, 0.000], [0.500, 0.834, 0.249], [0.500, 0.834, 0.751], [0.000, 0.676, 0.500], [0.000, 0.166, 0.749], [0.000, 0.166, 0.251], [0.000, 0.677, 0.000], [0.500, 0.323, 0.500]], "n_ef_per_ev_atom": 1.759, "total_magnetization_mub_per_cell": 0.001, "ef_kj_per_mol_fu": 24, "final_energy_ev_per_atom": -6.229}